# 1
# CaTi2Tc (PBE, optimized geometry)
# **Excess energy over the best structure of this formula in the dataset**: 0.0 meV per atom
# **Energy of formation**: 0.2864 eV/atom
data_CaTi2Tc
_chemical_formula_sum 'Ca4 Ti8 Tc4'
_cell_length_a 6.630
_cell_length_b 6.630
_cell_length_c 6.630
_cell_angle_alpha 90.00
_cell_angle_beta 90.00
_cell_angle_gamma 90.00
_symmetry_space_group_name_H-M 'F m -3 m'
_symmetry_Int_Tables_number 225
_symmetry_space_group_name_Hall '-F 4 2 3'
loop_
_atom_site_label
_atom_site_type_symbol
_atom_site_fract_x
_atom_site_fract_y
_atom_site_fract_z
Ca1 Ca 0.000 0.000 0.000
Ti1 Ti 0.250 0.250 0.250
Tc1 Tc 0.000 0.000 0.500

# 2
# Hf3NiW (PBE, optimized geometry)
# **Excess energy over the best structure of this formula in the dataset**: 0.0 meV per atom
# **Energy of formation**: 0.6687 eV/atom
data_Hf3NiW
_chemical_formula_sum 'Hf3 Ni1 W1'
_cell_length_a 4.709
_cell_length_b 4.709
_cell_length_c 4.709
_cell_angle_alpha 90.00
_cell_angle_beta 90.00
_cell_angle_gamma 90.00
_symmetry_space_group_name_H-M 'P m -3 m'
_symmetry_Int_Tables_number 221
_symmetry_space_group_name_Hall '-P 4 2 3'
loop_
_atom_site_label
_atom_site_type_symbol
_atom_site_fract_x
_atom_site_fract_y
_atom_site_fract_z
Hf1 Hf 0.000 0.000 0.500
Ni1 Ni 0.000 0.000 0.000
W1 W 0.500 0.500 0.500

# 3
# Mg2NiHg (PBE, optimized geometry)
# **Excess energy over the best structure of this formula in the dataset**: 124.6 meV per atom
# **Energy of formation**: -0.0535 eV/atom
data_Mg2NiHg
_chemical_formula_sum 'Mg8 Ni4 Hg4'
_cell_length_a 6.515
_cell_length_b 6.515
_cell_length_c 6.515
_cell_angle_alpha 90.00
_cell_angle_beta 90.00
_cell_angle_gamma 90.00
_symmetry_space_group_name_H-M 'F -4 3 m'
_symmetry_Int_Tables_number 216
_symmetry_space_group_name_Hall 'F -4 2 3'
loop_
_atom_site_label
_atom_site_type_symbol
_atom_site_fract_x
_atom_site_fract_y
_atom_site_fract_z
Mg1 Mg 0.000 0.000 0.000
Mg2 Mg 0.250 0.250 0.250
Ni1 Ni 0.000 0.000 0.500
Hg1 Hg 0.250 0.250 0.750

# 4
# Tl2Se (PBE, optimized geometry)
# **Excess energy over the best structure of this formula in the dataset**: 72.3 meV per atom
# **Uncorrected formation energy**: -0.3006 eV per atom
data_Tl2Se
_chemical_formula_sum 'Tl6 Se3'
_cell_length_a 8.2361
_cell_length_b 8.2361
_cell_length_c 4.9502
_cell_angle_alpha 90.00
_cell_angle_beta 90.00
_cell_angle_gamma 120.00
_symmetry_space_group_name_H-M 'P -6 2 m'
_symmetry_Int_Tables_number 189
_symmetry_space_group_name_Hall 'P -6 -2'
loop_
_atom_site_label
_atom_site_type_symbol
_atom_site_fract_x
_atom_site_fract_y
_atom_site_fract_z
Tl1 Tl 0.0000 0.2597 0.0000
Tl2 Tl 0.0000 0.5918 0.5000
Se1 Se 0.0000 0.0000 0.5000
Se2 Se 0.3333 0.6667 0.0000

# 5
# Dy4ZnCo3 (PBE, optimized geometry)
# **Energy of formation**: -0.2119 eV/atom
data_Dy4ZnCo3
_chemical_formula_sum 'Dy4 Zn1 Co3'
_cell_length_a 3.990
_cell_length_b 4.037
_cell_length_c 10.378
_cell_angle_alpha 90.00
_cell_angle_beta 90.00
_cell_angle_gamma 90.00
_symmetry_space_group_name_H-M 'P m m 2'
_symmetry_Int_Tables_number 25
loop_
_symmetry_equiv_pos_as_xyz
'x,y,z'
'-x,-y,z'
'-x,y,z'
'x,-y,z'
loop_
_atom_site_label
_atom_site_type_symbol
_atom_site_fract_x
_atom_site_fract_y
_atom_site_fract_z
Dy1 Dy 0.000 0.000 0.000
Dy2 Dy 0.000 0.500 0.277
Dy3 Dy 0.500 0.000 0.484
Dy4 Dy 0.500 0.500 0.776
Zn1 Zn 0.000 0.000 0.699
Co1 Co 0.000 0.500 0.563
Co2 Co 0.500 0.000 0.189
Co3 Co 0.500 0.500 0.083

# 6
# Rb3U3NiSe8 (PBE, optimized geometry)
# **Uncorrected formation energy**: -1.0426 eV per atom
data_Rb3U3NiSe8
_chemical_formula_sum 'Rb6 U6 Ni2 Se16'
_cell_length_a 14.167
_cell_length_b 8.184
_cell_length_c 9.478
_cell_angle_alpha 90.00
_cell_angle_beta 119.88
_cell_angle_gamma 90.00
_symmetry_space_group_name_H-M 'C 1 2/m 1'
_symmetry_Int_Tables_number 12
loop_
_symmetry_equiv_pos_as_xyz
'x,y,z'
'-x,-y,-z'
'-x,y,-z'
'x,-y,z'
'x+1/2,y+1/2,z'
'-x+1/2,-y+1/2,-z'
'-x+1/2,y+1/2,-z'
'x+1/2,-y+1/2,z'
loop_
_atom_site_label
_atom_site_type_symbol
_atom_site_fract_x
_atom_site_fract_y
_atom_site_fract_z
Rb1 Rb 0.000 0.000 0.000
Rb2 Rb 0.250 0.250 0.000
U1 U 0.000 0.500 0.500
U2 U 0.250 0.250 0.500
Ni1 Ni 0.000 0.000 0.500
Se1 Se 0.019 0.241 0.316
Se2 Se 0.220 0.000 0.682
Se3 Se 0.234 0.500 0.700

# 7
# K2Tc (PBE, optimized geometry)
# **Excess energy over the best structure of this formula in the dataset**: 774.5 meV per atom
# **Energy of formation**: 1.4215 eV/atom
data_K2Tc
_chemical_formula_sum 'K2 Tc1'
_cell_length_a 3.0848
_cell_length_b 3.0848
_cell_length_c 9.9058
_cell_angle_alpha 90.00
_cell_angle_beta 90.00
_cell_angle_gamma 120.00
_symmetry_space_group_name_H-M 'P -3 m 1'
_symmetry_Int_Tables_number 164
_symmetry_space_group_name_Hall '-P 3 2"'
loop_
_atom_site_label
_atom_site_type_symbol
_atom_site_fract_x
_atom_site_fract_y
_atom_site_fract_z
K1 K 0.3333 0.6667 0.2848
Tc1 Tc 0.0000 0.0000 0.0000

# 8
# Ca3Pr3NdSe8 (PBE, optimized geometry)
# **Uncorrected formation energy**: -1.9153 eV per atom
data_Ca3Pr3NdSe8
_chemical_formula_sum 'Ca9 Pr9 Nd3 Se24'
_cell_length_a 8.4605
_cell_length_b 8.4605
_cell_length_c 20.7996
_cell_angle_alpha 90.00
_cell_angle_beta 90.00
_cell_angle_gamma 120.00
_symmetry_space_group_name_H-M 'R -3 m'
_symmetry_Int_Tables_number 166
_symmetry_space_group_name_Hall '-R 3 2"'
loop_
_atom_site_label
_atom_site_type_symbol
_atom_site_fract_x
_atom_site_fract_y
_atom_site_fract_z
Ca1 Ca 0.0000 0.5000 0.0000
Pr1 Pr 0.0000 0.5000 0.5000
Nd1 Nd 0.0000 0.0000 0.5000
Se1 Se 0.0000 0.0000 0.2525
Se2 Se 0.0029 0.5015 0.2505

# 9
# NiPdS (PBE, optimized geometry)
# **Uncorrected formation energy**: -0.1732 eV per atom
data_NiPdS
_chemical_formula_sum 'Ni2 Pd2 S2'
_cell_length_a 4.326
_cell_length_b 3.547
_cell_length_c 5.836
_cell_angle_alpha 90.00
_cell_angle_beta 108.33
_cell_angle_gamma 90.00
_symmetry_space_group_name_H-M 'P 1 21/m 1'
_symmetry_Int_Tables_number 11
loop_
_symmetry_equiv_pos_as_xyz
'x,y,z'
'-x,-y,-z'
'-x,y+1/2,-z'
'x,-y+1/2,z'
loop_
_atom_site_label
_atom_site_type_symbol
_atom_site_fract_x
_atom_site_fract_y
_atom_site_fract_z
Ni1 Ni 0.177 0.250 0.422
Pd1 Pd 0.204 0.250 0.926
S1 S 0.371 0.750 0.684

# 10
# La4Ag2Ir (PBE, optimized geometry)
# **Excess energy over the best structure of this formula in the dataset**: 133.8 meV per atom
# **Energy of formation**: -0.2422 eV/atom
data_La4Ag2Ir
_chemical_formula_sum 'La8 Ag4 Ir2'
_cell_length_a 5.598
_cell_length_b 5.598
_cell_length_c 15.155
_cell_angle_alpha 90.00
_cell_angle_beta 90.00
_cell_angle_gamma 90.00
_symmetry_space_group_name_H-M 'I 4/m m m'
_symmetry_Int_Tables_number 139
_symmetry_space_group_name_Hall '-I 4 2'
loop_
_atom_site_label
_atom_site_type_symbol
_atom_site_fract_x
_atom_site_fract_y
_atom_site_fract_z
La1 La 0.000 0.000 0.189
La2 La 0.000 0.500 0.000
Ag1 Ag 0.000 0.000 0.390
Ir1 Ir 0.000 0.000 0.000

# 11
# Ce2TmPa (PBE, optimized geometry)
# **Excess energy over the best structure of this formula in the dataset**: 269.1 meV per atom
# **Energy of formation**: 0.3474 eV/atom
data_Ce2TmPa
_chemical_formula_sum 'Ce8 Tm4 Pa4'
_cell_length_a 7.617
_cell_length_b 7.617
_cell_length_c 7.617
_cell_angle_alpha 90.00
_cell_angle_beta 90.00
_cell_angle_gamma 90.00
_symmetry_space_group_name_H-M 'F m -3 m'
_symmetry_Int_Tables_number 225
_symmetry_space_group_name_Hall '-F 4 2 3'
loop_
_atom_site_label
_atom_site_type_symbol
_atom_site_fract_x
_atom_site_fract_y
_atom_site_fract_z
Ce1 Ce 0.250 0.250 0.250
Tm1 Tm 0.000 0.000 0.000
Pa1 Pa 0.000 0.000 0.500

# 12
# CaMnSe (PBE, optimized geometry)
# **Excess energy over the best structure of this formula in the dataset**: 813.6 meV per atom
# **Uncorrected formation energy**: 0.0392 eV per atom
data_CaMnSe
_chemical_formula_sum 'Ca4 Mn4 Se4'
_cell_length_a 6.976
_cell_length_b 6.976
_cell_length_c 6.976
_cell_angle_alpha 90.00
_cell_angle_beta 90.00
_cell_angle_gamma 90.00
_symmetry_space_group_name_H-M 'F -4 3 m'
_symmetry_Int_Tables_number 216
_symmetry_space_group_name_Hall 'F -4 2 3'
loop_
_atom_site_label
_atom_site_type_symbol
_atom_site_fract_x
_atom_site_fract_y
_atom_site_fract_z
Ca1 Ca 0.000 0.000 0.000
Mn1 Mn 0.250 0.250 0.250
Se1 Se 0.250 0.250 0.750

# 13
# FeWAu2 (PBE, optimized geometry)
# **Excess energy over the best structure of this formula in the dataset**: 5.7 meV per atom
# **Energy of formation**: 0.2399 eV/atom
data_FeWAu2
_chemical_formula_sum 'Fe1 W1 Au2'
_cell_length_a 2.784
_cell_length_b 2.784
_cell_length_c 8.212
_cell_angle_alpha 90.00
_cell_angle_beta 90.00
_cell_angle_gamma 90.00
_symmetry_space_group_name_H-M 'P 4 m m'
_symmetry_Int_Tables_number 99
loop_
_symmetry_equiv_pos_as_xyz
'x,y,z'
'-y,x,z'
'-x,-y,z'
'y,-x,z'
'-x,y,z'
'y,x,z'
'x,-y,z'
'-y,-x,z'
loop_
_atom_site_label
_atom_site_type_symbol
_atom_site_fract_x
_atom_site_fract_y
_atom_site_fract_z
Fe1 Fe 0.000 0.000 0.000
W1 W 0.500 0.500 0.222
Au1 Au 0.000 0.000 0.482
Au2 Au 0.500 0.500 0.765

# 14
# NaBePt3 (PBE, optimized geometry)
# **Excess energy over the best structure of this formula in the dataset**: 0.0 meV per atom
# **Energy of formation**: -0.1400 eV/atom
data_NaBePt3
_chemical_formula_sum 'Na1 Be1 Pt3'
_cell_length_a 4.304
_cell_length_b 4.304
_cell_length_c 4.304
_cell_angle_alpha 90.00
_cell_angle_beta 90.00
_cell_angle_gamma 90.00
_symmetry_space_group_name_H-M 'P m -3 m'
_symmetry_Int_Tables_number 221
_symmetry_space_group_name_Hall '-P 4 2 3'
loop_
_atom_site_label
_atom_site_type_symbol
_atom_site_fract_x
_atom_site_fract_y
_atom_site_fract_z
Na1 Na 0.000 0.000 0.000
Be1 Be 0.500 0.500 0.500
Pt1 Pt 0.000 0.500 0.500

# 15
# BaEuBiCl (PBE, optimized geometry)
# **Uncorrected formation energy**: -1.3293 eV per atom
data_BaEuBiCl
_chemical_formula_sum 'Ba4 Eu4 Bi4 Cl4'
_cell_length_a 8.206
_cell_length_b 8.206
_cell_length_c 8.206
_cell_angle_alpha 90.00
_cell_angle_beta 90.00
_cell_angle_gamma 90.00
_symmetry_space_group_name_H-M 'F -4 3 m'
_symmetry_Int_Tables_number 216
_symmetry_space_group_name_Hall 'F -4 2 3'
loop_
_atom_site_label
_atom_site_type_symbol
_atom_site_fract_x
_atom_site_fract_y
_atom_site_fract_z
Ba1 Ba 0.000 0.000 0.000
Eu1 Eu 0.000 0.000 0.500
Bi1 Bi 0.250 0.250 0.250
Cl1 Cl 0.250 0.250 0.750

# 16
# Nd2CdC (PBE, optimized geometry)
# **Energy of formation**: -0.0140 eV/atom
data_Nd2CdC
_chemical_formula_sum 'Nd6 Cd3 C3'
_cell_length_a 3.6486
_cell_length_b 3.6486
_cell_length_c 28.9755
_cell_angle_alpha 90.00
_cell_angle_beta 90.00
_cell_angle_gamma 120.00
_symmetry_space_group_name_H-M 'R -3 m'
_symmetry_Int_Tables_number 166
_symmetry_space_group_name_Hall '-R 3 2"'
loop_
_atom_site_label
_atom_site_type_symbol
_atom_site_fract_x
_atom_site_fract_y
_atom_site_fract_z
Nd1 Nd 0.0000 0.0000 0.1180
Cd1 Cd 0.0000 0.0000 0.0000
C1 C 0.0000 0.0000 0.5000

# 17
# MnZn2Cr (PBE, optimized geometry)
# **Excess energy over the best structure of this formula in the dataset**: 95.9 meV per atom
# **Energy of formation**: 0.1589 eV/atom
data_MnZn2Cr
_chemical_formula_sum 'Mn1 Zn2 Cr1'
_cell_length_a 2.565
_cell_length_b 2.565
_cell_length_c 7.922
_cell_angle_alpha 90.00
_cell_angle_beta 90.00
_cell_angle_gamma 90.00
_symmetry_space_group_name_H-M 'P 4 m m'
_symmetry_Int_Tables_number 99
loop_
_symmetry_equiv_pos_as_xyz
'x,y,z'
'-y,x,z'
'-x,-y,z'
'y,-x,z'
'-x,y,z'
'y,x,z'
'x,-y,z'
'-y,-x,z'
loop_
_atom_site_label
_atom_site_type_symbol
_atom_site_fract_x
_atom_site_fract_y
_atom_site_fract_z
Mn1 Mn 0.000 0.000 0.000
Zn1 Zn 0.000 0.000 0.515
Zn2 Zn 0.500 0.500 0.247
Cr1 Cr 0.500 0.500 0.765

# 18
# La2PrOs (PBE, optimized geometry)
# **Excess energy over the best structure of this formula in the dataset**: 0.0 meV per atom
# **Energy of formation**: -0.1265 eV/atom
data_La2PrOs
_chemical_formula_sum 'La8 Pr4 Os4'
_cell_length_a 7.511
_cell_length_b 9.935
_cell_length_c 6.571
_cell_angle_alpha 90.00
_cell_angle_beta 90.00
_cell_angle_gamma 90.00
_symmetry_space_group_name_H-M 'P n m a'
_symmetry_Int_Tables_number 62
loop_
_symmetry_equiv_pos_as_xyz
'x,y,z'
'-x,-y,-z'
'-x+1/2,-y,z+1/2'
'x+1/2,y,-z+1/2'
'x+1/2,-y+1/2,-z+1/2'
'-x+1/2,y+1/2,z+1/2'
'-x,y+1/2,-z'
'x,-y+1/2,z'
loop_
_atom_site_label
_atom_site_type_symbol
_atom_site_fract_x
_atom_site_fract_y
_atom_site_fract_z
La1 La 0.173 0.069 0.171
Pr1 Pr 0.043 0.250 0.646
Os1 Os 0.111 0.750 0.935

# 19
# Be3Re2 (PBE, optimized geometry)
# **Excess energy over the best structure of this formula in the dataset**: 487.8 meV per atom
# **Energy of formation**: 0.2636 eV/atom
data_Be3Re2
_chemical_formula_sum 'Be3 Re2'
_cell_length_a 4.1050
_cell_length_b 4.1050
_cell_length_c 4.7025
_cell_angle_alpha 90.00
_cell_angle_beta 90.00
_cell_angle_gamma 120.00
_symmetry_space_group_name_H-M 'P -3 m 1'
_symmetry_Int_Tables_number 164
_symmetry_space_group_name_Hall '-P 3 2"'
loop_
_atom_site_label
_atom_site_type_symbol
_atom_site_fract_x
_atom_site_fract_y
_atom_site_fract_z
Be1 Be 0.0000 0.0000 0.0000
Be2 Be 0.3333 0.6667 0.4014
Re1 Re 0.3333 0.6667 0.9060

# 20
# CsPbO2 (PBE, optimized geometry)
# **Uncorrected formation energy**: -1.0302 eV per atom
data_CsPbO2
_chemical_formula_sum 'Cs4 Pb4 O8'
_cell_length_a 6.727
_cell_length_b 3.706
_cell_length_c 16.130
_cell_angle_alpha 90.00
_cell_angle_beta 90.00
_cell_angle_gamma 90.00
_symmetry_space_group_name_H-M 'P n m a'
_symmetry_Int_Tables_number 62
loop_
_symmetry_equiv_pos_as_xyz
'x,y,z'
'-x,-y,-z'
'-x+1/2,-y,z+1/2'
'x+1/2,y,-z+1/2'
'x+1/2,-y+1/2,-z+1/2'
'-x+1/2,y+1/2,z+1/2'
'-x,y+1/2,-z'
'x,-y+1/2,z'
loop_
_atom_site_label
_atom_site_type_symbol
_atom_site_fract_x
_atom_site_fract_y
_atom_site_fract_z
Cs1 Cs 0.157 0.250 0.166
Pb1 Pb 0.155 0.750 0.434
O1 O 0.170 0.250 0.537
O2 O 0.191 0.250 0.352

| no. | total magnetization (μB per formula unit) |
| --- | --- |
| 1 | 0.00 |
| 2 | 0.00 |
| 3 | 0.00 |
| 4 | 0.00 |
| 5 | 1.35 |
| 6 | 7.81 |
| 7 | 0.00 |
| 8 | 0.00 |
| 9 | 0.00 |
| 10 | 0.00 |
| 11 | 2.08 |
| 12 | 4.91 |
| 13 | 2.21 |
| 14 | 0.00 |
| 15 | 7.00 |
| 16 | 0.00 |
| 17 | 2.63 |
| 18 | 0.00 |
| 19 | 0.00 |
| 20 | 0.00 |